1.
Entry from Alexandria: a relaxed PrMgH8Ir2 crystal (PBE).

Lattice parameters (Å, degrees): 4.8364 4.8364 16.9392 90.00 90.00 120.00
Space group R-3 (No. 148, hexagonal axes)
Unique sites:
Pr: 0.0000 0.0000 0.0000 x3
Mg: 0.0000 0.0000 0.5000 x3
H: 0.0000 0.0000 0.3063 x6
H: 0.0158 0.7213 0.8866 x18
Ir: 0.0000 0.0000 0.2070 x6

Total magnetization: 0.00 μB per cell
Raw total energy: -4.427 eV/atom

***

2.
Entry from Alexandria: a relaxed Na2DyTl9 crystal (PBE).

Lattice parameters (Å, degrees): 4.8115 4.8115 14.6680 90.00 90.00 90.00
Space group P4/mmm (No. 123)
Unique sites:
Na: 0.0000 0.0000 0.1739 x2
Dy: 0.0000 0.0000 0.5000 x1
Tl: 0.0000 0.5000 0.0000 x2
Tl: 0.0000 0.5000 0.3369 x4
Tl: 0.5000 0.5000 0.1707 x2
Tl: 0.5000 0.5000 0.5000 x1

ΔH_f (0 K): -0.1026 eV/atom
Total magnetization: 0.00 μB per cell

***

3.
Entry from Alexandria: a relaxed Ac6PrCd crystal (PBE).

Lattice parameters (Å, degrees): 7.5786 7.5851 8.5214 90.24 116.25 119.85
Space group P-1 (No. 2)
Unique sites:
Ac: 0.0014 0.4445 0.2534 x2
Ac: 0.3038 0.2480 0.7466 x2
Ac: 0.3063 0.0550 0.2533 x2
Pr: 0.5000 0.0000 0.0000 x1
Cd: 0.5000 0.5000 0.5000 x1

ΔH_f (0 K): 0.3460 eV/atom
Relative energy among the computed polymorphs: 356.1 meV per atom
Total magnetization: 0.00 μB per cell